Entry 1:
# Pm2ZnCu9

A relaxed structure of Pm2ZnCu9 (PBE, Alexandria via LeMat-Bulk).

Values from the calculation:
- DFT formation energy: -0.03 eV per atom

Cell and atoms, written as POSCAR:
```
Pm2ZnCu9
1.0
-3.2307 2.3546 3.1939
0.8419 -0.1289 5.0455
3.7144 7.7103 2.1719
Pm Cu Zn
2 9 1
Direct
0.8660 0.8660 0.4019
0.1340 0.1340 0.5981
0.5802 0.0793 0.7604
0.4198 0.9207 0.2396
0.5802 0.5802 0.7604
0.3327 0.3327 0.0018
0.4198 0.4198 0.2396
0.6673 0.6673 0.9982
0.5000 0.5000 0.5000
0.9207 0.4198 0.2396
0.0793 0.5802 0.7604
0.0000 0.0000 0.0000
```

---

Entry 2:
# K2NaHgAs2

A relaxed structure of K2NaHgAs2 (PBE, Alexandria via LeMat-Bulk).

Values from the calculation:
- DFT formation energy: -0.31 eV per atom

Cell and atoms, written as POSCAR:
```
K2NaHgAs2
1.0
6.7047 0.0000 0.0000
0.0000 6.7791 0.0000
-3.3524 -3.3896 7.8900
Na Hg K As
2 2 4 4
Direct
0.0000 0.2500 0.0000
0.0000 0.7500 0.0000
0.5000 0.7500 0.0000
0.5000 0.2500 0.0000
0.0754 0.3272 0.6545
0.4210 0.1728 0.3455
0.9246 0.6728 0.3455
0.5790 0.8272 0.6545
0.1696 0.8952 0.7905
0.8304 0.1048 0.2095
0.3791 0.6048 0.2095
0.6209 0.3952 0.7905
```

---

Entry 3:
# NaSiPb2Se4

A relaxed structure of NaSiPb2Se4 (PBE, Alexandria via LeMat-Bulk).

Values from the calculation:
- E_form (uncorrected): -0.437 eV per atom

Cell and atoms, written as POSCAR:
```
NaSiPb2Se4
1.0
8.2851 0.0617 -0.1212
0.0558 8.2851 -0.1212
-4.1634 -4.1663 6.0232
Na Se Pb Si
2 8 4 2
Direct
0.0000 0.5000 0.5000
0.0000 0.5000 0.0000
0.2438 0.2562 0.4669
0.7810 0.2367 0.0089
0.2633 0.7190 0.4911
0.7562 0.7438 0.9669
0.7562 0.7438 0.5331
0.2190 0.7633 0.9911
0.7367 0.2810 0.5089
0.2438 0.2562 0.0331
0.5000 0.0000 0.5000
0.0000 0.0000 0.5000
0.5000 0.0000 0.0000
0.5000 0.5000 0.0000
0.0000 0.0000 0.0000
0.5000 0.5000 0.5000
```

---

Entry 4:
# Sc4Zn2Cu

A relaxed structure of Sc4Zn2Cu (PBE, Alexandria via LeMat-Bulk).

Values from the calculation:
- DFT formation energy: -0.15 eV per atom

Cell and atoms, written as POSCAR:
```
Sc4Zn2Cu
1.0
-3.7583 -2.7501 -0.3141
-0.5533 -2.7815 -3.7073
2.2865 -7.3401 2.2274
Cu Sc Zn
1 4 2
Direct
0.0000 0.0000 0.0000
0.8734 0.8734 0.3799
0.6220 0.6220 0.1341
0.1266 0.1266 0.6201
0.3780 0.3780 0.8659
0.2521 0.2521 0.2437
0.7479 0.7479 0.7563
```

---

Entry 5:
# Ac2TbHoO6

A relaxed structure of Ac2TbHoO6 (PBE, Alexandria via LeMat-Bulk).

Values from the calculation:
- E_form (uncorrected): -3.454 eV per atom

Cell and atoms, written as POSCAR:
```
Ac2TbHoO6
1.0
-4.7117 0.7728 -3.6966
1.0110 -5.6132 -2.4621
-5.2345 -3.5492 5.9420
O Ac Tb Ho
12 4 2 2
Direct
0.8032 0.7994 0.9364
0.8002 0.8019 0.5630
0.3828 0.9492 0.7485
0.3002 0.6981 0.0630
0.6998 0.3019 0.9370
0.8828 0.5508 0.2485
0.1968 0.2006 0.0636
0.6968 0.2994 0.5636
0.3032 0.7006 0.4364
0.1998 0.1981 0.4370
0.1172 0.4492 0.7515
0.6172 0.0508 0.2515
0.9855 0.0474 0.7499
0.0145 0.9526 0.2501
0.4855 0.4526 0.2499
0.5145 0.5474 0.7501
0.0000 0.5000 0.5000
0.5000 0.0000 0.0000
0.0000 0.5000 0.0000
0.5000 0.0000 0.5000
```

---

Entry 6:
# CsK2Sr2Cl7

A relaxed structure of CsK2Sr2Cl7 (PBE, Alexandria via LeMat-Bulk).

Values from the calculation:
- E_form (uncorrected): -2.193 eV per atom

Cell and atoms, written as POSCAR:
```
CsK2Sr2Cl7
1.0
5.7219 0.0418 0.0441
0.0488 5.7219 0.0441
2.9151 2.9115 13.8500
Cl K Cs Sr
7 2 1 2
Direct
0.5939 0.1047 0.7966
0.8953 0.4061 0.2034
0.3271 0.3271 0.4131
0.4061 0.8953 0.2034
0.5000 0.5000 0.0000
0.6729 0.6729 0.5869
0.1047 0.5939 0.7966
0.7394 0.7394 0.3696
0.2606 0.2606 0.6304
0.0000 0.0000 0.0000
0.3901 0.3901 0.2092
0.6099 0.6099 0.7908
```

---

Entry 7:
# GaNF2

A relaxed structure of GaNF2 (PBE, Alexandria via LeMat-Bulk).

Values from the calculation:
- E above lowest polymorph: 1.133 eV per formula unit
- E_form (uncorrected): 0.142 eV per atom

Cell and atoms, written as POSCAR:
```
GaNF2
1.0
0.8582 -3.3811 -1.9138
0.5890 -3.3552 2.0558
-2.6862 -2.9306 -0.1631
F Ga N
2 1 1
Direct
0.2500 0.2500 0.2500
0.7500 0.7500 0.7500
0.5000 0.5000 0.5000
0.0000 0.0000 0.0000
```

---

Entry 8:
# Cs2AlSn

A relaxed structure of Cs2AlSn (PBE, Alexandria via LeMat-Bulk).

Values from the calculation:
- DFT formation energy: 0.43 eV per atom

Cell and atoms, written as POSCAR:
```
Cs2AlSn
1.0
0.0000 4.5068 4.5068
4.5068 0.0000 4.5068
4.5068 4.5068 0.0000
Al Cs Sn
1 2 1
Direct
0.0000 0.0000 0.0000
0.7500 0.7500 0.7500
0.2500 0.2500 0.2500
0.5000 0.5000 0.5000
```

---

In μB/atom, the total magnetic moment values for the records above are, in order, 0.00; 0.00; 0.00; 0.00; 0.00; 0.01; 0.52; 0.24.